[1]
# Sm2Y2ErTm2

Sm2Y2ErTm2 after structural relaxation (GGA-PBE, the Alexandria database).

```
7
Lattice="-2.818 -0.670 1.964 3.735 -4.772 0.612 6.390 1.597 9.713" Properties=species:S:1:pos:R:3 pbc="T T T"
Tm 2.188 -2.531 5.392
Y 7.018 -3.376 8.917
Sm 2.073 -3.215 1.876
Tm 5.119 -1.314 6.897
Er 3.195 0.798 4.857
Sm 5.234 -0.630 10.413
Y 0.289 -0.470 3.372
```

Output
formation enthalpy at 0 K = 89 meV/atom
total moment = 0.00 μB per formula unit
SG = C2/m (12)

[2]
# PmMg6Sc

PmMg6Sc after structural relaxation (GGA-PBE, the Alexandria database).

```
8
Lattice="-0.641 4.903 -1.496 -6.314 -1.277 -1.483 1.613 2.062 6.070" Properties=species:S:1:pos:R:3 pbc="T T T"
Pm 0.949 1.782 5.437
Sc -2.007 3.124 2.178
Mg 0.130 0.751 2.407
Mg -5.150 2.471 1.386
Mg -2.996 0.120 1.678
Mg -5.939 1.467 -1.568
Mg -2.866 2.090 -0.842
Mg -2.203 1.141 4.684
```

Output
formation enthalpy at 0 K = -52 meV/atom
total moment = 0.00 μB per formula unit
SG = Amm2 (38)

[3]
# PmPr4Y2

PmPr4Y2 after structural relaxation (GGA-PBE, the Alexandria database).

```
7
Lattice="6.100 0.000 0.000 0.000 6.281 0.000 0.000 -3.141 6.584" Properties=species:S:1:pos:R:3 pbc="T T T"
Pr 0.000 0.000 2.566
Y 3.050 0.000 1.505
Y 3.050 3.141 5.079
Pr 0.000 3.141 4.018
Pr 3.050 0.000 4.791
Pm 0.000 3.141 0.000
Pr 3.050 3.141 1.793
```

Output
formation enthalpy at 0 K = 450 meV/atom
total moment = 0.00 μB per formula unit
relative energy among the computed polymorphs = 0.391 eV per atom
SG = Cmmm (65)

[4]
# AcLa3Er4

AcLa3Er4 after structural relaxation (GGA-PBE, the Alexandria database).

```
8
Lattice="-1.288 -0.779 -3.157 -6.401 -6.160 2.193 -7.337 5.460 -0.291" Properties=species:S:1:pos:R:3 pbc="T T T"
Er -6.047 2.126 -1.932
La -4.339 -0.759 -1.917
La -6.869 -0.350 0.951
Er -9.443 2.147 -0.552
Er -5.583 -3.625 -0.703
Ac -0.644 -0.389 -1.579
La -10.687 -0.719 0.663
Er -8.980 -3.604 0.678
```

Output
formation enthalpy at 0 K = 162 meV/atom
total moment = 0.00 μB per formula unit
SG = Immm (71)

[5]
# AcReP2

AcReP2 after structural relaxation (GGA-PBE, the Alexandria database).

```
4
Lattice="-1.473 -3.661 1.412 2.461 -2.509 2.284 -1.329 0.297 5.605" Properties=species:S:1:pos:R:3 pbc="T T T"
Re 0.000 0.000 0.000
Ac -0.171 -2.937 4.650
P -0.469 -4.103 7.538
P 0.128 -1.771 1.763
```

Output
formation enthalpy at 0 K = -698 meV/atom
total moment = 0.00 μB per formula unit
relative energy among the computed polymorphs = 0.000 eV per atom
SG = R-3m (166)

[6]
# ScMoW2

ScMoW2 after structural relaxation (GGA-PBE, the Alexandria database).

```
4
Lattice="9.117 -0.022 -0.013 8.629 2.941 -0.013 8.629 1.419 2.576" Properties=species:S:1:pos:R:3 pbc="T T T"
Sc 19.781 3.253 1.912
W 13.358 2.197 1.291
Mo 6.594 1.084 0.637
W 26.205 4.310 2.533
```

Output
formation enthalpy at 0 K = 403 meV/atom
total moment = 0.00 μB per formula unit
relative energy among the computed polymorphs = 0.314 eV per atom
SG = R-3m (166)

[7]
# Na2In2RhO6

Na2In2RhO6 after structural relaxation (GGA-PBE, the Alexandria database).

```
11
Lattice="-1.962 -5.108 1.013 4.048 0.654 -3.762 3.172 0.693 4.827" Properties=species:S:1:pos:R:3 pbc="T T T"
O 3.603 0.444 2.026
Rh 1.586 0.346 2.414
In 3.612 -0.938 0.258
Na -0.999 -4.185 0.248
O 1.655 -4.205 0.053
O 3.551 -2.387 -1.454
O 3.791 -2.883 1.292
O 1.467 -0.878 0.786
O 1.706 -1.375 3.533
In 1.646 -2.823 1.820
Na 3.085 -0.270 -2.997
```

Output
total moment = 1.05 μB per formula unit
ΔE_f (raw) = -1436.8 kJ/mol of formula units
SG = C2/m (12)

[8]
# TmVGe3

TmVGe3 after structural relaxation (GGA-PBE, the Alexandria database).

```
20
Lattice="-3.427 2.218 3.787 2.699 -2.442 3.873 7.620 10.035 1.017" Properties=species:S:1:pos:R:3 pbc="T T T"
Ge 6.644 9.385 2.562
Tm 2.891 2.476 3.213
Ge 4.134 4.313 5.309
Ge 6.019 6.993 7.491
Ge 2.758 5.498 3.369
Ge 0.496 2.718 4.997
Ge 1.555 -0.316 3.639
V 8.950 7.289 3.829
Tm 4.379 7.434 1.655
Ge 5.848 3.204 3.415
Ge 0.873 2.818 1.186
Ge 4.471 4.389 1.475
V 7.237 8.398 5.723
Ge 5.337 10.127 5.038
Ge 6.396 7.093 3.680
Ge 0.248 0.426 6.115
Tm 4.001 7.335 5.464
V -0.344 1.413 2.954
Tm 2.513 2.377 7.022
V 1.369 0.304 1.061
```

Output
formation enthalpy at 0 K = -353 meV/atom
total moment = 0.00 μB per formula unit
SG = Pbcm (57)

[9]
# TbBiP

TbBiP after structural relaxation (GGA-PBE, the Alexandria database).

```
6
Lattice="-2.070 3.103 -2.844 -3.557 2.618 1.578 4.603 8.932 2.529" Properties=species:S:1:pos:R:3 pbc="T T T"
Bi 1.892 5.993 1.294
Bi -2.916 8.661 -0.031
P -0.978 2.880 -0.013
Tb -2.861 4.780 -0.438
P -0.046 11.773 1.276
Tb 1.837 9.874 1.701
```

Output
formation enthalpy at 0 K = -644 meV/atom
total moment = 0.00 μB per formula unit
SG = R-3m (166)

[10]
# RbTl2

RbTl2 after structural relaxation (GGA-PBE, the Alexandria database).

```
6
Lattice="5.189 -0.049 0.096 0.045 5.189 0.096 -0.177 -0.179 9.059" Properties=species:S:1:pos:R:3 pbc="T T T"
Rb 1.298 3.844 1.583
Tl 1.219 1.197 4.578
Tl 1.208 3.757 6.606
Rb 3.759 1.117 7.667
Tl 3.849 1.204 2.645
Tl 3.838 3.764 4.673
```

Output
formation enthalpy at 0 K = -86 meV/atom
total moment = 0.00 μB per formula unit
relative energy among the computed polymorphs = 0.009 eV per atom
SG = C2/m (12)

[11]
# AcTb4Dy7

AcTb4Dy7 after structural relaxation (GGA-PBE, the Alexandria database).

```
12
Lattice="6.927 1.894 0.898 5.132 7.671 2.482 -1.027 -0.453 8.842" Properties=species:S:1:pos:R:3 pbc="T T T"
Dy 6.764 4.812 10.760
Dy 3.463 0.947 0.449
Tb 8.310 7.044 8.468
Ac 0.000 0.000 0.000
Dy 3.532 5.419 4.784
Tb 7.044 6.376 5.243
Tb 3.989 2.736 6.980
Dy 7.501 3.693 7.438
Dy 4.857 6.081 7.983
Tb 2.723 2.068 3.755
Dy 6.176 3.031 4.240
Dy 4.269 4.301 1.462
```

Output
formation enthalpy at 0 K = 15 meV/atom
total moment = 0.00 μB per formula unit
relative energy among the computed polymorphs = 0.000 eV per atom
SG = P-1 (2)

[12]
# LuNiRh

LuNiRh after structural relaxation (GGA-PBE, the Alexandria database).

```
3
Lattice="3.596 0.000 0.000 0.000 4.112 0.000 0.000 -2.056 3.561" Properties=species:S:1:pos:R:3 pbc="T T T"
Rh 0.599 0.000 2.374
Lu 2.397 2.056 1.187
Ni 0.600 0.000 0.000
```

Output
formation enthalpy at 0 K = -569 meV/atom
total moment = 0.00 μB per formula unit
SG = P-6m2 (187)

[13]
# CeHo3Pu3Se8

CeHo3Pu3Se8 after structural relaxation (GGA-PBE, the Alexandria database).

```
15
Lattice="8.204 0.000 0.000 -4.102 7.105 -0.025 0.000 -4.714 6.718" Properties=species:S:1:pos:R:3 pbc="T T T"
Se 4.102 2.293 1.665
Se 4.102 0.017 4.988
Se 2.121 -1.138 1.677
Se 0.000 2.374 1.705
Ho 4.102 -2.357 3.359
Se 1.981 3.529 5.017
Se -1.981 3.529 5.017
Ho -2.051 1.196 3.347
Se 0.000 0.099 5.029
Pu -2.051 3.553 -0.012
Pu 0.000 0.000 0.000
Ce 0.000 -2.357 3.359
Pu 2.051 3.553 -0.012
Se 6.083 -1.138 1.677
Ho 2.051 1.196 3.347
```

Output
total moment = 18.34 μB per formula unit
ΔE_f (raw) = -2464.1 kJ/mol of formula units
SG = R-3m (166)

[14]
# ZrTl2PO6

ZrTl2PO6 after structural relaxation (GGA-PBE, the Alexandria database).

```
10
Lattice="-0.830 -2.042 4.850 -1.923 -5.140 -2.493 5.841 0.717 1.302" Properties=species:S:1:pos:R:3 pbc="T T T"
O 4.134 -1.707 4.687
O 2.984 -4.780 3.196
O 0.642 -2.136 3.908
O -1.046 -4.757 -1.028
Tl -0.088 -5.039 3.171
O 0.104 -1.684 0.462
Zr -0.415 -1.021 2.425
Tl 3.176 -1.425 0.488
O 2.447 -4.328 -0.250
P 0.000 0.000 0.000
```

Output
total moment = 0.00 μB per formula unit
ΔE_f (raw) = -1576.9 kJ/mol of formula units
SG = P-3m1 (164)

[15]
# MnVSbPd2

MnVSbPd2 after structural relaxation (GGA-PBE, the Alexandria database).

```
5
Lattice="-4.321 0.049 -1.693 0.257 -4.566 -0.788 -1.737 -0.858 4.407" Properties=species:S:1:pos:R:3 pbc="T T T"
Pd 0.129 -2.283 -0.394
Pd -2.160 0.024 -0.847
Mn 0.000 0.000 0.000
Sb -0.868 -0.429 2.204
V -2.900 -2.688 0.963
```

Output
total moment = 3.54 μB per formula unit
ΔE_f (raw) = 447.6 kJ/mol of formula units
SG = P4/mmm (123)

[16]
# BaFe2Mo2

BaFe2Mo2 after structural relaxation (GGA-PBE, the Alexandria database).

```
10
Lattice="-2.318 -4.183 -6.163 5.562 -5.265 1.482 -1.799 -1.436 1.651" Properties=species:S:1:pos:R:3 pbc="T T T"
Fe -1.042 -2.949 -1.271
Ba 0.000 0.000 0.000
Fe 2.488 -7.935 -1.760
Fe 2.300 -4.568 0.963
Mo 3.946 -6.023 -0.939
Ba 1.622 -4.724 -2.341
Mo -0.701 -3.424 -3.742
Mo 1.669 -2.480 -0.338
Mo 1.575 -6.968 -4.343
Fe -0.854 -6.315 -3.993
```

Output
formation enthalpy at 0 K = 771 meV/atom
total moment = 0.00 μB per formula unit
relative energy among the computed polymorphs = 0.054 eV per atom
SG = P4/mbm (127)

[17]
# Ti7Bi

Ti7Bi after structural relaxation (GGA-PBE, the Alexandria database).

```
8
Lattice="-2.467 -3.208 0.597 1.546 -1.809 -3.328 6.583 -1.285 6.272" Properties=species:S:1:pos:R:3 pbc="T T T"
Bi 0.000 0.000 0.000
Ti 5.260 -3.684 1.931
Ti 2.409 -1.918 -0.353
Ti 3.044 -1.886 2.440
Ti 0.403 -2.618 1.610
Ti 2.618 -4.416 1.102
Ti 3.253 -4.384 3.894
Ti -0.460 -2.508 -1.365
```

Output
formation enthalpy at 0 K = -31 meV/atom
total moment = 0.66 μB per formula unit
SG = I4/mmm (139)

[18]
# Sc2Sn2PRh4

Sc2Sn2PRh4 after structural relaxation (GGA-PBE, the Alexandria database).

```
9
Lattice="-3.419 4.846 1.142 -2.721 -5.353 -0.647 3.632 -2.051 4.368" Properties=species:S:1:pos:R:3 pbc="T T T"
Sn -2.842 -2.104 1.177
Sc 0.640 -5.200 2.613
Rh -1.067 -4.493 0.658
Rh -1.543 0.595 1.563
Sn 0.334 -0.453 3.685
P 0.000 0.000 0.000
Rh -0.965 -3.153 3.299
Sc 0.271 -2.203 1.107
Rh 1.978 -2.910 3.062
```

Output
formation enthalpy at 0 K = -607 meV/atom
total moment = 0.00 μB per formula unit
SG = I4/mmm (139)

[19]
# Hg2Bi4Rh

Hg2Bi4Rh after structural relaxation (GGA-PBE, the Alexandria database).

```
7
Lattice="4.688 0.000 0.000 0.000 4.761 0.098 0.000 3.244 10.277" Properties=species:S:1:pos:R:3 pbc="T T T"
Bi 0.000 5.268 8.663
Bi 4.688 2.057 1.698
Bi 2.344 4.556 1.759
Hg 2.344 2.465 4.287
Rh 0.000 4.421 0.091
Bi 2.344 2.768 8.603
Hg 2.344 4.860 6.075
```

Output
formation enthalpy at 0 K = -11 meV/atom
total moment = 0.00 μB per formula unit
SG = P2/m (10)

[20]
# LiSmMg4

LiSmMg4 after structural relaxation (GGA-PBE, the Alexandria database).

```
12
Lattice="-0.466 3.505 -1.653 -3.247 -3.505 -6.517 -8.188 -1.066 4.653" Properties=species:S:1:pos:R:3 pbc="T T T"
Li -6.539 -2.294 -3.023
Mg -6.342 -1.336 -5.656
Mg -8.153 1.455 0.774
Mg -3.748 -2.522 -4.292
Li -5.362 1.228 -0.494
Mg -5.033 0.076 -3.029
Sm -2.645 -0.727 -0.796
Mg -6.868 -1.142 -0.488
Mg -5.559 0.270 2.138
Sm -9.256 -0.339 -2.721
Mg -1.856 0.000 -4.085
Mg -0.233 1.752 -0.826
```

Output
formation enthalpy at 0 K = -8 meV/atom
total moment = 0.00 μB per formula unit
relative energy among the computed polymorphs = 0.054 eV per atom
SG = Cmcm (63)

Number 1: total energy -5.04 eV per atom. Number 2: total energy -2.63 eV per atom. Number 3: total energy -4.81 eV per atom. Number 4: total energy -4.48 eV per atom. Number 5: total energy -7.54 eV per atom. Number 6: total energy -10.36 eV per atom. Number 7: total energy -5.46 eV per atom. Number 8: total energy -5.84 eV per atom. Number 9: total energy -5.28 eV per atom. Number 10: total energy -1.99 eV per atom. Number 11: total energy -4.56 eV per atom. Number 12: total energy -6.45 eV per atom. Number 13: total energy -7.74 eV per atom. Number 14: total energy -6.48 eV per atom. Number 15: total energy -5.63 eV per atom. Number 16: total energy -7.33 eV per atom. Number 17: total energy -7.42 eV per atom. Number 18: total energy -6.77 eV per atom. Number 19: total energy -3.36 eV per atom. Number 20: total energy -2.18 eV per atom.